No. 1
Density functional theory data (PBE-GGA) for Sr2Zn4Pd5 after structural relaxation.

Cell lengths 11.282, 5.876, 8.366 Å; angles 90.00, 129.19, 90.00 degrees
Space group C2/m (No. 12)
One atom of each set of equivalent atoms:
Sr 0.064 0.000 0.270
Zn 0.052 0.500 0.390
Zn 0.206 0.500 0.966
Pd 0.000 0.500 0.000
Pd 0.189 0.235 0.708

Summary:
* excess energy over the best structure of this formula in the dataset: 0.133 eV/atom
* energy of formation: -484 kJ/mol of formula units
* crystal system: monoclinic

***

No. 2
Density functional theory data (PBE-GGA) for ScPSe after structural relaxation.

Cell lengths 3.6056, 3.6056, 5.7558 Å; angles 90.00, 90.00, 120.00 degrees
Space group P3m1 (No. 156)
One atom of each set of equivalent atoms:
Sc 0.0000 0.0000 0.0000
P 0.3333 0.6667 0.7041
Se 0.6667 0.3333 0.2842

Summary:
* crystal system: trigonal

***

No. 3
Density functional theory data (PBE-GGA) for La4Tb2SmTh after structural relaxation.

Cell lengths 5.167, 5.185, 10.344 Å; angles 90.00, 90.00, 90.00 degrees
Space group Pmmm (No. 47)
One atom of each set of equivalent atoms:
La 0.000 0.000 0.246
La 0.500 0.500 0.247
Tb 0.000 0.500 0.500
Tb 0.500 0.000 0.000
Sm 0.500 0.000 0.500
Th 0.000 0.500 0.000

Summary:
* energy of formation: 30 kJ/mol of formula units
* crystal system: orthorhombic

***

No. 4
Density functional theory data (PBE-GGA) for LiCN2O after structural relaxation.

Cell lengths 3.839, 3.839, 3.531 Å; angles 90.00, 90.00, 90.00 degrees
Space group P4/mmm (No. 123)
One atom of each set of equivalent atoms:
Li 0.000 0.000 0.000
C 0.500 0.500 0.500
N 0.000 0.500 0.000
O 0.000 0.000 0.500

Summary:
* crystal system: tetragonal

***

No. 5
Density functional theory data (PBE-GGA) for Cd5InAg3 after structural relaxation.

Cell lengths 9.776, 8.411, 10.770 Å; angles 90.00, 96.68, 90.00 degrees
Space group C2/m (No. 12)
One atom of each set of equivalent atoms:
Cd 0.000 0.176 0.000
Cd 0.030 0.000 0.334
Cd 0.209 0.303 0.656
Cd 0.213 0.000 0.856
In 0.027 0.500 0.252
Ag 0.000 0.500 0.000
Ag 0.000 0.500 0.500
Ag 0.225 0.000 0.562
Ag 0.239 0.000 0.122

Summary:
* energy of formation: 96 kJ/mol of formula units
* crystal system: monoclinic

***

No. 6
Density functional theory data (PBE-GGA) for Tl8Hg3Se2 after structural relaxation.

Cell lengths 8.659, 4.068, 12.426 Å; angles 90.00, 109.07, 90.00 degrees
Space group P2/m (No. 10)
One atom of each set of equivalent atoms:
Tl 0.142 0.000 0.353
Tl 0.186 0.500 0.609
Tl 0.251 0.500 0.105
Tl 0.324 0.000 0.875
Hg 0.484 0.000 0.304
Hg 0.500 0.500 0.500
Se 0.050 0.500 0.827

Summary:
* crystal system: monoclinic

***

In the order shown, the computed DFT total energy values come out to -3.586; -5.590; -5.099; -3.609; -1.652; -2.197 eV/atom.